1.
DFT (PBEsol) results for a relaxed ScZnSb2 crystal.

Unit cell a=5.675 b=5.675 c=4.267 alpha=98.74 beta=98.74 gamma=39.83
Sites, in units of the cell vectors:
Sc 0.000 0.000 0.000
Zn 0.195 0.195 0.577
Sb 0.445 0.445 0.476
Sb 0.721 0.721 0.058

Summary:
- space-group type = No. 8



2.
DFT (PBEsol) results for a relaxed ZrSc2Sb2 crystal.

Unit cell a=7.597 b=7.597 c=3.879 alpha=90.00 beta=90.00 gamma=90.00
Sites, in units of the cell vectors:
Zr 0.000 0.000 0.000
Zr 0.500 0.500 0.000
Sc 0.158 0.342 0.500
Sc 0.342 0.842 0.500
Sc 0.658 0.158 0.500
Sc 0.842 0.658 0.500
Sb 0.145 0.645 0.000
Sb 0.355 0.145 0.000
Sb 0.645 0.855 0.000
Sb 0.855 0.355 0.000

Summary:
- space-group type = No. 127



3.
DFT (PBEsol) results for a relaxed ZrScSb crystal.

Unit cell a=4.712 b=4.712 c=4.712 alpha=60.00 beta=60.00 gamma=60.00
Sites, in units of the cell vectors:
Zr 0.000 0.000 0.000
Sc 0.500 0.500 0.500
Sb 0.750 0.750 0.750

Summary:
- space-group type = No. 216



4.
DFT (PBEsol) results for a relaxed Sb2Se crystal.

Unit cell a=4.369 b=4.369 c=9.425 alpha=90.93 beta=90.93 gamma=61.48
Sites, in units of the cell vectors:
Sb 0.000 0.000 0.000
Sb 0.000 0.000 0.500
Sb 0.333 0.333 0.824
Sb 0.667 0.667 0.176
Se 0.334 0.334 0.344
Se 0.666 0.666 0.656

Summary:
- space-group type = No. 12



Raw formation energy values (in meV per atom) by entry order: -435.9 -807.8 -359.0 -53.7.